Density functional theory data (PBE) for CaSnN after structural relaxation.

Lattice parameters (Å, degrees): 6.042 6.042 6.529 90.00 90.00 147.14
Atoms (fractional coordinates):
Ca 0.000 0.000 0.000
Ca 0.000 0.000 0.500
Sn 0.273 0.727 0.750
Sn 0.727 0.273 0.250
N 0.448 0.552 0.750
N 0.552 0.448 0.250

Calculated values
volume = 21.551 Å³/atom
DOS at the Fermi energy = 2.3 states/eV/cell
electronic total energy = -31.604 eV per cell
ΔE_f (raw) = -0.491 eV per atom
magnetization = 0.0 μB per formula unit
ρ = 4438 kg/m³



Density functional theory data (PBE) for CaSnN after structural relaxation.

Lattice parameters (Å, degrees): 3.658 4.048 9.722 93.44 90.01 116.44
Atoms (fractional coordinates):
Ca 0.151 0.306 0.137
Ca 0.849 0.694 0.863
Sn 0.165 0.322 0.596
Sn 0.835 0.678 0.404
N 0.426 0.853 0.036
N 0.574 0.147 0.964

Calculated values
volume = 21.435 Å³/atom
DOS at the Fermi energy = 2.6 states/eV/cell
electronic total energy = -31.497 eV per cell
ΔE_f (raw) = -0.473 eV per atom
magnetization = 0.0 μB per formula unit
ρ = 4462 kg/m³



Density functional theory data (PBE) for CaSnN3 after structural relaxation.

Lattice parameters (Å, degrees): 4.174 4.174 4.174 90.00 90.00 90.00
Atoms (fractional coordinates):
Ca 0.000 0.000 0.000
Sn 0.500 0.500 0.500
N 0.000 0.500 0.500
N 0.500 0.000 0.500
N 0.500 0.500 0.000

Calculated values
volume = 14.547 Å³/atom
DOS at the Fermi energy = 2.1 states/eV/cell
electronic total energy = -27.395 eV per cell
ΔE_f (raw) = 0.717 eV per atom
magnetization = 3.0 μB per formula unit
ρ = 4584 kg/m³



Density functional theory data (PBE) for Ca2SnN2 after structural relaxation.

Lattice parameters (Å, degrees): 6.195 6.195 12.118 90.00 90.00 130.97
Atoms (fractional coordinates):
Ca 0.039 0.961 0.862
Ca 0.138 0.862 0.454
Ca 0.362 0.638 0.954
Ca 0.461 0.539 0.362
Ca 0.539 0.461 0.638
Ca 0.638 0.362 0.046
Ca 0.862 0.138 0.546
Ca 0.961 0.039 0.138
Sn 0.243 0.757 0.686
Sn 0.257 0.743 0.186
Sn 0.743 0.257 0.814
Sn 0.757 0.243 0.314
N 0.062 0.938 0.640
N 0.151 0.849 0.045
N 0.349 0.651 0.545
N 0.438 0.562 0.140
N 0.562 0.438 0.860
N 0.651 0.349 0.455
N 0.849 0.151 0.955
N 0.938 0.062 0.360

Calculated values
volume = 17.556 Å³/atom
DOS at the Fermi energy = 2.7 states/eV/cell
electronic total energy = -111.978 eV per cell
ΔE_f (raw) = -0.668 eV per atom
magnetization = 0.0 μB per formula unit
energy relative to the lowest polymorph listed for this composition = 0.000 eV per atom
ρ = 4292 kg/m³



Density functional theory data (PBE) for CaSn2N after structural relaxation.

Lattice parameters (Å, degrees): 6.232 6.232 6.232 102.72 102.72 124.02
Atoms (fractional coordinates):
Ca 0.000 0.000 0.000
Ca 0.750 0.250 0.500
Sn 0.215 0.625 0.090
Sn 0.375 0.465 0.590
Sn 0.535 0.125 0.910
Sn 0.875 0.785 0.410
N 0.250 0.750 0.500
N 0.500 0.500 0.000

Calculated values
volume = 22.141 Å³/atom
DOS at the Fermi energy = 3.8 states/eV/cell
electronic total energy = -35.894 eV per cell
ΔE_f (raw) = 0.096 eV per atom
magnetization = 0.0 μB per formula unit
ρ = 5466 kg/m³



Density functional theory data (PBE) for CaSn3N after structural relaxation.

Lattice parameters (Å, degrees): 5.891 5.891 5.891 90.00 90.00 90.00
Atoms (fractional coordinates):
Ca 0.000 0.000 0.000
Sn 0.000 0.000 0.500
Sn 0.000 0.500 0.000
Sn 0.500 0.000 0.000
N 0.500 0.500 0.500

Calculated values
volume = 40.894 Å³/atom
DOS at the Fermi energy = 5.6 states/eV/cell
electronic total energy = -14.164 eV per cell
ΔE_f (raw) = 1.634 eV per atom
magnetization = 2.8 μB per formula unit
energy relative to the lowest polymorph listed for this composition = 1.425 eV per atom
ρ = 3331 kg/m³



Density functional theory data (PBE) for CaSnN after structural relaxation.

Lattice parameters (Å, degrees): 3.528 3.985 10.335 79.67 89.71 64.73
Atoms (fractional coordinates):
Ca 0.105 0.292 0.369
Ca 0.895 0.708 0.631
Sn 0.315 0.862 0.901
Sn 0.685 0.138 0.099
N 0.415 0.672 0.463
N 0.585 0.328 0.537

Calculated values
volume = 21.475 Å³/atom
DOS at the Fermi energy = 2.4 states/eV/cell
electronic total energy = -31.449 eV per cell
ΔE_f (raw) = -0.465 eV per atom
magnetization = 0.0 μB per formula unit
ρ = 4454 kg/m³



Density functional theory data (PBE) for Ca8SnN2 after structural relaxation.

Lattice parameters (Å, degrees): 8.346 8.346 8.346 145.55 100.51 89.59
Atoms (fractional coordinates):
Ca 0.140 0.140 0.000
Ca 0.182 0.500 0.682
Ca 0.195 0.861 0.334
Ca 0.473 0.139 0.334
Ca 0.527 0.861 0.666
Ca 0.805 0.139 0.666
Ca 0.818 0.500 0.318
Ca 0.860 0.860 0.000
Sn 0.500 0.500 0.000
N 0.170 0.000 0.170
N 0.830 0.000 0.830

Calculated values
volume = 28.408 Å³/atom
DOS at the Fermi energy = 4.9 states/eV/cell
electronic total energy = -43.010 eV per cell
ΔE_f (raw) = -0.577 eV per atom
magnetization = 0.0 μB per formula unit
ρ = 2483 kg/m³